La2MgMoO6 | the Alexandria database | PBE with a Hubbard U | relaxed; calculated total energy = -7.466 eV per atom
1.0
-5.0819 -2.5233 -1.4835
0.2882 3.4408 4.7755
2.0968 4.5462 -3.3480
La Mg Mo O
2 1 1 6
direct
0.2332 0.6146 0.8537
0.7051 0.3533 0.0666
0.6634 0.8269 0.4972
0.0460 0.0189 0.0756
0.2226 0.7902 0.2407
0.8221 0.0318 0.2462
0.4659 0.4477 0.2404
0.8310 0.1789 0.8013
0.6065 0.6357 0.7973
0.1541 0.9712 0.8002